No. 1
VASP calculation (PBE) on Tb6Ho12Er after structural relaxation. Values from VASP.

```
&SYSTEM
  ibrav = 0, nat = 19, ntyp = 3
/
ATOMIC_SPECIES
Ho 164.93 Ho.upf
Tb 158.93 Tb.upf
Er 167.26 Er.upf
ATOMIC_POSITIONS crystal
Ho 0.437 0.774 0.543
Tb 0.257 0.091 0.690
Ho 0.355 0.011 0.208
Ho 0.208 0.355 0.011
Ho 0.774 0.543 0.437
Tb 0.743 0.909 0.310
Tb 0.310 0.743 0.909
Ho 0.457 0.563 0.226
Ho 0.563 0.226 0.457
Ho 0.543 0.437 0.774
Ho 0.226 0.457 0.563
Tb 0.909 0.310 0.743
Ho 0.011 0.208 0.355
Tb 0.091 0.690 0.257
Ho 0.989 0.792 0.645
Ho 0.645 0.989 0.792
Tb 0.690 0.257 0.091
Ho 0.792 0.645 0.989
Er 0.000 0.000 0.000
CELL_PARAMETERS angstrom
-0.041 -4.878 6.920
5.979 -5.048 -3.234
6.148 4.600 3.567
```

Its formation energy is 0.1574 eV per atom.

---

No. 2
VASP calculation (PBE) on TbHoEr6 after structural relaxation. Values from VASP.

```
&SYSTEM
  ibrav = 0, nat = 8, ntyp = 3
/
ATOMIC_SPECIES
Er 167.26 Er.upf
Tb 158.93 Tb.upf
Ho 164.93 Ho.upf
ATOMIC_POSITIONS crystal
Er 0.906 0.230 0.522
Er 0.574 0.731 0.520
Tb 0.000 0.500 0.000
Ho 0.000 0.000 0.000
Er 0.426 0.269 0.480
Er 0.094 0.770 0.478
Er 0.452 0.249 0.000
Er 0.548 0.751 0.000
CELL_PARAMETERS angstrom
-2.455 -1.389 6.034
5.486 2.139 2.711
-2.100 5.151 3.994
```

Its formation energy is 0.2130 eV per atom.

---

No. 3
VASP calculation (PBE) on Tb3Ho2Er3 after structural relaxation. Values from VASP.

```
&SYSTEM
  ibrav = 0, nat = 8, ntyp = 3
/
ATOMIC_SPECIES
Tb 158.93 Tb.upf
Er 167.26 Er.upf
Ho 164.93 Ho.upf
ATOMIC_POSITIONS crystal
Tb 0.125 0.125 0.250
Tb 0.875 0.875 0.750
Er 0.500 0.000 0.000
Ho 0.250 0.750 0.499
Er 0.375 0.375 0.749
Tb 0.000 0.500 0.000
Er 0.625 0.625 0.251
Ho 0.750 0.250 0.501
CELL_PARAMETERS angstrom
-1.824 -0.495 -4.606
-2.639 -3.961 1.471
-5.399 8.194 3.947
```

Its formation energy is 0.0203 eV per atom.

---

No. 4
VASP calculation (PBE) on TbHo5Er after structural relaxation. Values from VASP.

```
&SYSTEM
  ibrav = 0, nat = 7, ntyp = 3
/
ATOMIC_SPECIES
Ho 164.93 Ho.upf
Er 167.26 Er.upf
Tb 158.93 Tb.upf
ATOMIC_POSITIONS crystal
Ho 0.745 0.255 0.255
Ho 0.500 0.178 0.822
Er 0.500 0.500 0.500
Ho 0.255 0.745 0.745
Tb 0.000 0.000 0.000
Ho 0.500 0.822 0.178
Ho 0.000 0.500 0.500
CELL_PARAMETERS angstrom
-0.771 -5.365 -1.889
-2.016 -4.842 5.855
-7.606 -1.984 0.020
```

Its formation energy is 1.1279 eV per atom.

---

No. 5
VASP calculation (PBE) on Tb7HoEr5 after structural relaxation. Values from VASP.

```
&SYSTEM
  ibrav = 0, nat = 13, ntyp = 3
/
ATOMIC_SPECIES
Tb 158.93 Tb.upf
Er 167.26 Er.upf
Ho 164.93 Ho.upf
ATOMIC_POSITIONS crystal
Tb 0.230 0.270 0.270
Tb 0.482 0.847 0.190
Tb 0.482 0.190 0.847
Er 0.998 0.541 0.998
Er 0.463 0.998 0.541
Tb 0.979 0.348 0.693
Tb 0.424 0.576 0.576
Tb 0.979 0.693 0.348
Ho 0.040 0.960 0.960
Er 0.998 0.998 0.541
Er 0.730 0.770 0.770
Tb 0.732 0.268 0.268
Er 0.463 0.541 0.998
CELL_PARAMETERS angstrom
-1.340 -3.104 -5.718
-2.339 -8.230 1.157
-8.347 0.468 -2.157
```

Its formation energy is 0.2535 eV per atom.

---

No. 6
VASP calculation (PBE) on TbHoEr14 after structural relaxation. Values from VASP.

```
&SYSTEM
  ibrav = 0, nat = 16, ntyp = 3
/
ATOMIC_SPECIES
Er 167.26 Er.upf
Tb 158.93 Tb.upf
Ho 164.93 Ho.upf
ATOMIC_POSITIONS crystal
Er 0.834 0.585 0.751
Er 0.346 0.654 0.768
Er 0.903 0.097 0.733
Er 0.624 0.787 0.500
Tb 0.697 0.303 0.500
Er 0.415 0.166 0.249
Er 0.834 0.585 0.249
Er 0.213 0.376 0.500
Er 0.627 0.962 0.000
Er 0.346 0.654 0.232
Er 0.554 0.446 0.000
Er 0.104 0.896 0.000
Er 0.038 0.373 0.000
Er 0.903 0.097 0.267
Er 0.415 0.166 0.751
Ho 0.145 0.855 0.500
CELL_PARAMETERS angstrom
6.848 -0.124 0.000
-2.029 6.542 0.000
0.000 0.000 10.990
```

Its formation energy is 0.0598 eV per atom.